Entry from Alexandria via LeMat-Bulk: Ac4Pr5Tl after structural relaxation (PBE-GGA).

Lattice parameters (Å, degrees): 3.873 3.873 25.420 90.00 90.00 90.00
Sites, in units of the cell vectors:
Ac1 0.000 0.000 0.184
Ac2 0.000 0.000 0.395
Ac3 0.000 0.000 0.605
Ac4 0.000 0.000 0.816
Pr1 0.500 0.500 0.080
Pr2 0.500 0.500 0.290
Pr3 0.500 0.500 0.500
Pr4 0.500 0.500 0.710
Pr5 0.500 0.500 0.920
Tl1 0.000 0.000 0.000

Calculated values
The value obtained for the total energy is -4.3303 eV per atom. Its magnetization is 0.00 μB per formula unit. The value obtained for the formation energy is -0.061 eV per atom.


Entry from Alexandria via LeMat-Bulk: NdLuBeCu after structural relaxation (PBE-GGA).

Lattice parameters (Å, degrees): 4.910 4.910 4.910 60.00 60.00 60.00
Sites, in units of the cell vectors:
Be1 0.750 0.750 0.750
Lu1 0.000 0.000 0.000
Nd1 0.500 0.500 0.500
Cu1 0.250 0.250 0.250

Calculated values
The value obtained for the total energy is -4.3014 eV per atom. Its magnetization is 0.00 μB per formula unit. The value obtained for the formation energy is -0.024 eV per atom.


Entry from Alexandria via LeMat-Bulk: Ag5Ge2F12 after structural relaxation (PBE-GGA).

Lattice parameters (Å, degrees): 6.325 7.465 8.025 111.63 90.00 115.06
Sites, in units of the cell vectors:
Ag1 0.266 0.533 0.536
Ag2 0.304 0.609 0.192
Ag3 0.000 0.000 0.500
Ag4 0.696 0.391 0.808
Ag5 0.734 0.467 0.464
Ge1 0.751 0.000 0.000
Ge2 0.249 0.000 0.000
F1 0.037 0.074 0.170
F2 0.112 0.723 0.987
F3 0.611 0.723 0.987
F4 0.099 0.714 0.426
F5 0.616 0.714 0.426
F6 0.465 0.929 0.830
F7 0.535 0.071 0.170
F8 0.901 0.286 0.574
F9 0.384 0.286 0.574
F10 0.888 0.277 0.013
F11 0.389 0.277 0.013
F12 0.963 0.926 0.830

Calculated values
The value obtained for the total energy is -3.9278 eV per atom. Its magnetization is 0.00 μB per formula unit.


Entry from Alexandria via LeMat-Bulk: Ac2PmNi9 after structural relaxation (PBE-GGA).

Lattice parameters (Å, degrees): 5.092 5.092 9.022 73.61 73.61 60.00
Each line ends with the local moment (μB).
Sites, in units of the cell vectors:
Ac1 0.864 0.864 0.407  -0.02
Ac2 0.136 0.136 0.593  -0.02
Pm1 0.000 0.000 0.000  -0.03
Ni1 0.667 0.667 0.998  0.20
Ni2 0.333 0.333 0.002  0.20
Ni3 0.500 0.500 0.500  0.02
Ni4 0.423 0.423 0.233  0.12
Ni5 0.921 0.423 0.233  0.12
Ni6 0.423 0.921 0.233  0.12
Ni7 0.577 0.577 0.767  0.12
Ni8 0.577 0.079 0.767  0.12
Ni9 0.079 0.577 0.767  0.12

Calculated values
The value obtained for the total energy is -5.6477 eV per atom. Its magnetization is 0.97 μB per formula unit. The value obtained for the formation energy is -0.231 eV per atom.


Entry from Alexandria via LeMat-Bulk: NaP4 after structural relaxation (PBE-GGA).

Lattice parameters (Å, degrees): 4.768 4.768 4.768 90.00 90.00 90.00
Sites, in units of the cell vectors:
Na1 0.500 0.500 0.500
P1 0.000 0.000 0.000
P2 0.500 0.000 0.500
P3 0.000 0.500 0.500
P4 0.500 0.500 0.000

Calculated values
The value obtained for the total energy is -2.7539 eV per atom. Its magnetization is 0.00 μB per formula unit. The value obtained for the formation energy is 1.838 eV per atom.


Entry from Alexandria via LeMat-Bulk: TbThCI after structural relaxation (PBE-GGA).

Lattice parameters (Å, degrees): 3.775 3.779 8.082 89.99 103.49 120.04
Sites, in units of the cell vectors:
Tb1 0.519 0.157 0.692
Th1 0.083 0.940 0.038
C1 0.299 0.547 0.862
I1 0.977 0.386 0.378

Calculated values
The value obtained for the total energy is -6.4053 eV per atom. Its magnetization is 0.00 μB per formula unit.


Entry from Alexandria via LeMat-Bulk: ThSbPd4 after structural relaxation (PBE-GGA).

Lattice parameters (Å, degrees): 5.463 5.463 5.463 60.00 60.00 60.00
Sites, in units of the cell vectors:
Sb1 0.000 0.000 0.000
Pd1 0.625 0.625 0.126
Pd2 0.625 0.126 0.625
Pd3 0.625 0.625 0.625
Pd4 0.126 0.625 0.625
Th1 0.250 0.250 0.250

Calculated values
The value obtained for the total energy is -6.0081 eV per atom. Its magnetization is 0.00 μB per formula unit.


Entry from Alexandria via LeMat-Bulk: DyBIr2Rh after structural relaxation (PBE-GGA).

Lattice parameters (Å, degrees): 4.246 4.208 4.208 90.00 90.00 90.00
Sites, in units of the cell vectors:
Dy1 0.500 0.500 0.500
B1 0.000 0.000 0.000
Ir1 0.000 0.000 0.500
Ir2 0.000 0.500 0.000
Rh1 0.500 0.000 0.000

Calculated values
The value obtained for the total energy is -7.9831 eV per atom. Its magnetization is 0.00 μB per formula unit. The value obtained for the formation energy is -0.712 eV per atom.


Entry from Alexandria via LeMat-Bulk: Pm3Zr2Sb3 after structural relaxation (PBE-GGA).

Lattice parameters (Å, degrees): 6.115 8.967 8.967 120.00 90.00 90.00
Sites, in units of the cell vectors:
Pm1 0.750 0.251 0.000
Pm2 0.750 0.749 0.749
Pm3 0.750 0.000 0.251
Pm4 0.250 0.749 0.000
Pm5 0.250 0.251 0.251
Pm6 0.250 0.000 0.749
Zr1 0.000 0.333 0.667
Zr2 0.500 0.667 0.333
Zr3 0.000 0.667 0.333
Zr4 0.500 0.333 0.667
Sb1 0.750 0.604 0.000
Sb2 0.750 0.396 0.396
Sb3 0.750 0.000 0.604
Sb4 0.250 0.396 0.000
Sb5 0.250 0.604 0.604
Sb6 0.250 0.000 0.396

Calculated values
The value obtained for the total energy is -6.3482 eV per atom. Its magnetization is 0.00 μB per formula unit.


Entry from Alexandria via LeMat-Bulk: NaZnIn2Rh after structural relaxation (PBE-GGA).

Lattice parameters (Å, degrees): 5.131 5.131 4.926 90.00 90.00 90.00
Sites, in units of the cell vectors:
Na1 0.500 0.500 0.500
Zn1 0.000 0.000 0.500
Rh1 0.000 0.000 0.000
In1 0.000 0.500 0.000
In2 0.500 0.000 0.000

Calculated values
The value obtained for the total energy is -3.2390 eV per atom. Its magnetization is 0.00 μB per formula unit. The value obtained for the formation energy is -0.155 eV per atom.


Entry from Alexandria via LeMat-Bulk: LaSmNi17 after structural relaxation (PBE-GGA).

Lattice parameters (Å, degrees): 6.304 6.304 6.304 83.19 83.19 83.19
Each line ends with the local moment (μB).
Sites, in units of the cell vectors:
La1 0.658 0.658 0.658  -0.09
Sm1 0.339 0.339 0.339  -0.08
Ni1 0.289 0.001 0.711  0.47
Ni2 0.711 0.289 0.001  0.47
Ni3 0.001 0.711 0.289  0.47
Ni4 0.289 0.711 0.001  0.47
Ni5 0.001 0.289 0.711  0.47
Ni6 0.711 0.001 0.289  0.47
Ni7 0.343 0.848 0.343  0.44
Ni8 0.343 0.343 0.848  0.44
Ni9 0.848 0.343 0.343  0.44
Ni10 0.656 0.152 0.656  0.44
Ni11 0.656 0.656 0.152  0.44
Ni12 0.152 0.656 0.656  0.44
Ni13 0.001 0.499 0.001  0.52
Ni14 0.001 0.001 0.499  0.52
Ni15 0.499 0.001 0.001  0.52
Ni16 0.902 0.902 0.902  0.45
Ni17 0.099 0.099 0.099  0.46

Calculated values
The value obtained for the total energy is -5.8470 eV per atom. Its magnetization is 7.16 μB per formula unit. The value obtained for the formation energy is -0.166 eV per atom.


Entry from Alexandria via LeMat-Bulk: PmTmPu2 after structural relaxation (PBE-GGA).

Lattice parameters (Å, degrees): 5.041 4.831 4.831 90.00 90.00 90.00
Each line ends with the local moment (μB).
Sites, in units of the cell vectors:
Tm1 0.500 0.000 0.000  0.26
Pm1 0.500 0.500 0.500  0.14
Pu1 0.000 0.000 0.500  5.55
Pu2 0.000 0.500 0.000  5.55

Calculated values
The value obtained for the total energy is -9.2787 eV per atom. Its magnetization is 12.51 μB per formula unit. The value obtained for the formation energy is 0.193 eV per atom.